PBE Mn8Al, optimized geometry; ΔE_f = 0.023 eV per atom
1.0
-3.0872 -3.8005 -2.7252
0.7590 2.3699 5.0209
-2.3728 4.4790 -2.3896
Al Mn
1 8
direct
0.0000 0.0000 0.0000
0.3226 0.6774 0.0000
0.3226 0.3226 0.6451
0.6568 0.0000 0.6568
0.3432 0.0000 0.3432
0.0000 0.6568 0.6568
0.6774 0.6774 0.3549
0.6774 0.3226 0.0000
0.0000 0.3432 0.3432


PBE GaSn3, optimized geometry; ΔE_f = 0.071 eV per atom
1.0
-2.9676 -1.1887 1.1013
-0.1737 -3.7752 -4.5429
4.0323 -1.0395 4.5530
Sn Ga
3 1
direct
0.5000 0.4571 0.0000
0.2722 0.6192 0.5444
0.7278 0.0748 0.4556
0.0000 0.0155 0.0000


| no. | calculated density (g cm⁻³) |
| --- | --- |
| 1 | 7.69 |
| 2 | 6.88 |